MgFeF5: optimized geometry, GGA+U.

Results
energy above the lowest structure with this stoichiometry: 1 meV per atom
E: -5.256 eV/atom
total magnetic moment: 20.0 μB/cell

a b c (Å): 9.714 5.146 7.546
angles (deg): 70.92 90.00 90.00
Site moments in Bohr magnetons follow the coordinates.
Positions (direct):
Mg: 0.988 0.483 0.221  0.01
Mg: 0.488 0.517 0.279  0.01
Mg: 0.012 0.517 0.779  0.01
Mg: 0.512 0.483 0.721  0.01
Fe: 0.240 0.899 0.376  4.47
Fe: 0.740 0.101 0.124  4.47
Fe: 0.760 0.101 0.624  4.47
Fe: 0.260 0.899 0.876  4.47
F: 0.112 0.604 0.387  0.08
F: 0.612 0.396 0.113  0.08
F: 0.888 0.396 0.613  0.08
F: 0.388 0.604 0.887  0.08
F: 0.392 0.643 0.487  0.06
F: 0.892 0.357 0.013  0.06
F: 0.608 0.357 0.513  0.06
F: 0.108 0.643 0.987  0.06
F: 0.595 0.856 0.225  0.10
F: 0.095 0.144 0.275  0.10
F: 0.405 0.144 0.775  0.10
F: 0.905 0.856 0.725  0.10
F: 0.862 0.795 0.160  0.09
F: 0.362 0.205 0.340  0.09
F: 0.138 0.205 0.840  0.09
F: 0.638 0.795 0.660  0.09
F: 0.319 0.833 0.143  0.11
F: 0.819 0.167 0.357  0.11
F: 0.681 0.167 0.857  0.11
F: 0.181 0.833 0.643  0.11

Mg3FeF: optimized geometry, GGA+U.

Results
energy above the lowest structure with this stoichiometry: 534 meV per atom
E: -2.327 eV/atom
total magnetic moment: 3.3 μB/cell

a b c (Å): 5.132 5.132 5.132
angles (deg): 90.00 90.00 90.00
Site moments in Bohr magnetons follow the coordinates.
Positions (direct):
Mg: 0.000 0.500 0.000  0.00
Mg: 0.000 0.000 0.500  0.00
Mg: 0.500 0.000 0.000  -0.01
Fe: 0.000 0.000 0.000  2.93
F: 0.500 0.500 0.500  0.03

MgFeMoF2: optimized geometry, GGA+U.

Results
E: -4.334 eV/atom
total magnetic moment: 1.7 μB/cell

a b c (Å): 3.863 6.935 3.863
angles (deg): 90.00 90.00 90.00
Site moments in Bohr magnetons follow the coordinates.
Positions (direct):
Mg: 0.000 0.000 0.000  0.01
Mo: 0.000 0.500 0.000  -1.94
Fe: 0.500 0.500 0.500  3.69
F: 0.000 0.000 0.500  0.01
F: 0.500 0.000 0.000  0.00

Na2MgFeF6: optimized geometry, GGA+U.

Results
E: -5.016 eV/atom
total magnetic moment: 4.0 μB/cell

a b c (Å): 5.635 5.617 5.629
angles (deg): 58.85 59.83 59.72
Site moments in Bohr magnetons follow the coordinates.
Positions (direct):
Na: 0.584 0.571 0.272  0.00
Na: 0.047 0.060 0.833  0.00
Mg: 0.816 0.816 0.552  0.00
Fe: 0.316 0.316 0.051  3.81
F: 0.593 0.153 0.282  0.02
F: 0.160 0.961 0.299  0.02
F: 0.969 0.569 0.315  0.02
F: 0.472 0.671 0.804  0.02
F: 0.664 0.064 0.787  0.02
F: 0.040 0.479 0.820  0.02